Entry 1:
Entry from Alexandria via LeMat-Bulk: a PBEsol-optimized structure of TeOsCl2 (SCAN).

abc: 3.0524 4.8679 4.8679
angles: 90.00 90.00 90.00
With the nearest neighbours (Å) after each atom.
Element x y z (fractional)
Os 0.5000 0.5000 0.5000  8 Cl 2.87, 2 Os 3.05
Cl 0.0000 0.5000 0.0000  4 Os 2.87, 4 Te 2.87, 2 Cl 3.05
Cl 0.0000 0.0000 0.5000  4 Os 2.87, 4 Te 2.87, 2 Cl 3.05
Te 0.5000 0.0000 0.0000  8 Cl 2.87, 2 Te 3.05

## Properties
The crystal system is tetragonal. For the polymorph energy (0 for the lowest one), the calculation gives 1111 meV/atom. For the uncorrected formation energy, the calculation gives 6.074 eV/f.u. For the total energy, the calculation gives -29.753 eV per atom.

***

Entry 2:
Entry from Alexandria via LeMat-Bulk: a PBEsol-optimized structure of NbTlN3 (SCAN).

abc: 4.0712 4.0712 4.0712
angles: 90.00 90.00 90.00
With the nearest neighbours (Å) after each atom.
Element x y z (fractional)
N 0.5000 0.0000 0.0000  2 Tl 2.04
N 0.0000 0.0000 0.5000  2 Tl 2.04
N 0.0000 0.5000 0.0000  2 Tl 2.04
Nb 0.5000 0.5000 0.5000  12 N 2.88
Tl 0.0000 0.0000 0.0000  6 N 2.04

## Properties
The crystal system is cubic. For the uncorrected formation energy, the calculation gives 11.095 eV/f.u. For the total energy, the calculation gives -24.453 eV per atom.

***

Entry 3:
Entry from Alexandria via LeMat-Bulk: a PBEsol-optimized structure of BaLaRe (SCAN).

abc: 3.5349 3.5349 7.5456
angles: 103.55 103.55 90.00
With the nearest neighbours (Å) after each atom.
Element x y z (fractional)
Re 0.3208 0.3208 0.6416  4 La 2.94, 4 Ba 3.25
Ba 0.9669 0.9669 0.9338  4 Re 3.25, 4 Ba 3.53, 1 La 3.63
La 0.7123 0.7123 0.4246  4 Re 2.94

## Properties
The crystal system is tetragonal. For the total energy, the calculation gives -50.619 eV per atom.

***

Entry 4:
Entry from Alexandria via LeMat-Bulk: a PBEsol-optimized structure of Li2ScBiW (SCAN).

abc: 4.8120 4.8120 5.5411
angles: 90.00 90.00 90.00
With the nearest neighbours (Å) after each atom.
Element x y z (fractional)
Sc 0.0000 0.0000 0.5000  2 Bi 2.77
W 0.5000 0.5000 0.5000  4 Sc 3.40, 8 Li 3.67
Li 0.0000 0.5000 0.0000  2 Bi 2.41
Li 0.5000 0.0000 0.0000  2 Bi 2.41
Bi 0.0000 0.0000 0.0000  4 Li 2.41

## Properties
The crystal system is tetragonal. For the total energy, the calculation gives -32.336 eV per atom.

***

Entry 5:
Entry from Alexandria via LeMat-Bulk: a PBEsol-optimized structure of YH3Rh (SCAN).

abc: 3.6184 3.6184 3.6184
angles: 90.00 90.00 90.00
With the nearest neighbours (Å) after each atom.
Element x y z (fractional)
H 0.0000 0.5000 0.0000  2 Rh 1.81
H 0.5000 0.0000 0.0000  2 Rh 1.81
H 0.0000 0.0000 0.5000  2 Rh 1.81
Rh 0.0000 0.0000 0.0000  6 H 1.81
Y 0.5000 0.5000 0.5000  12 H 2.56

## Properties
The crystal system is cubic. For the total energy, the calculation gives -15.052 eV per atom.

***

Entry 6:
Entry from Alexandria via LeMat-Bulk: a PBEsol-optimized structure of Ba3LiIrRuO9 (SCAN).

abc: 5.7644 5.7644 14.0866
angles: 90.00 90.00 120.00
With the nearest neighbours (Å) after each atom.
Element x y z (fractional)
O 0.5147 0.4853 0.7501  1 Ir 2.02, 1 Ru 2.05
O 0.1739 0.3478 0.0845  1 Ru 1.86
O 0.1729 0.3459 0.4171  1 Ir 1.90, 1 Li 2.08
O 0.8271 0.1729 0.9171  1 Ir 1.90, 1 Li 2.08
O 0.0293 0.5147 0.2501  1 Ir 2.02, 1 Ru 2.05
O 0.5147 0.0293 0.7501  1 Ir 2.02, 1 Ru 2.05
O 0.8261 0.6522 0.5845  1 Ru 1.86
O 0.6522 0.8261 0.0845  1 Ru 1.86
O 0.9707 0.4853 0.7501  1 Ir 2.02, 1 Ru 2.05
O 0.4853 0.9707 0.2501  1 Ir 2.02, 1 Ru 2.05
O 0.3478 0.1739 0.5845  1 Ru 1.86
O 0.4853 0.5147 0.2501  1 Ir 2.02, 1 Ru 2.05
O 0.8271 0.6541 0.9171  1 Ir 1.90, 1 Li 2.08
O 0.6541 0.8271 0.4171  1 Ir 1.90, 1 Li 2.08
O 0.1729 0.8271 0.4171  1 Ir 1.90, 1 Li 2.08
O 0.1739 0.8261 0.0845  1 Ru 1.86
O 0.3459 0.1729 0.9171  1 Ir 1.90, 1 Li 2.08
O 0.8261 0.1739 0.5845  1 Ru 1.86
Ru 0.3333 0.6667 0.1524  6 O 1.86-2.05
Ru 0.6667 0.3333 0.6524  6 O 1.86-2.05
Ba 0.3333 0.6667 0.9125  12 O 2.88-2.92
Ba 0.3333 0.6667 0.5860  12 O 2.87-2.94
Ba 0.0000 0.0000 0.7498  12 O 2.89-2.92
Ba 0.6667 0.3333 0.4125  12 O 2.88-2.92
Ba 0.6667 0.3333 0.0860  12 O 2.87-2.94
Ba 0.0000 0.0000 0.2498  12 O 2.89-2.92
Ir 0.6667 0.3333 0.8443  6 O 1.90-2.02
Ir 0.3333 0.6667 0.3443  6 O 1.90-2.02
Li 0.0000 0.0000 0.9997  6 O 2.08-2.11
Li 0.0000 0.0000 0.4997  6 O 2.08-2.11

## Properties
The crystal system is hexagonal. For the uncorrected formation energy, the calculation gives -31.337 eV/f.u. For the total energy, the calculation gives -20.959 eV per atom.

***

Entry 7:
Entry from Alexandria via LeMat-Bulk: a PBEsol-optimized structure of SrZn3Br (SCAN).

abc: 5.2856 5.2856 5.2856
angles: 90.00 90.00 90.00
With the nearest neighbours (Å) after each atom.
Element x y z (fractional)
Zn 0.0000 0.5000 0.0000  2 Br 2.64
Zn 0.0000 0.0000 0.5000  2 Br 2.64
Zn 0.5000 0.0000 0.0000  2 Br 2.64
Sr 0.5000 0.5000 0.5000  12 Zn 3.74
Br 0.0000 0.0000 0.0000  6 Zn 2.64

## Properties
The crystal system is cubic. For the uncorrected formation energy, the calculation gives 1.985 eV/f.u. For the total energy, the calculation gives -16.059 eV per atom.

***

Entry 8:
Entry from Alexandria via LeMat-Bulk: a PBEsol-optimized structure of MnSb5 (SCAN).

abc: 6.1103 6.1103 6.1103
angles: 60.00 60.00 60.00
With the nearest neighbours (Å) after each atom.
Element x y z (fractional)
Sb 0.2500 0.2500 0.2500  12 Sb 3.58, 4 Mn 3.74
Sb 0.1244 0.6252 0.6252  6 Sb 3.05-3.06
Sb 0.6252 0.1244 0.6252  6 Sb 3.05-3.06
Sb 0.6252 0.6252 0.1244  6 Sb 3.05-3.06
Sb 0.6252 0.6252 0.6252  6 Sb 3.05-3.06
Mn 0.0000 0.0000 0.0000  16 Sb 3.58-3.74

## Properties
The crystal system is cubic. For the polymorph energy (0 for the lowest one), the calculation gives 353 meV/atom. For the uncorrected formation energy, the calculation gives 3.102 eV/f.u. For the total energy, the calculation gives -33.576 eV per atom.

***

Entry 9:
Entry from Alexandria via LeMat-Bulk: a PBEsol-optimized structure of FeRuN2F (SCAN).

abc: 3.6898 3.6386 3.6386
angles: 90.00 90.00 90.00
With the nearest neighbours (Å) after each atom.
Element x y z (fractional)
Fe 0.0000 0.0000 0.0000  4 N 1.82, 2 F 1.84
F 0.5000 0.0000 0.0000  2 Fe 1.84
N 0.0000 0.0000 0.5000  2 Fe 1.82
N 0.0000 0.5000 0.0000  2 Fe 1.82
Ru 0.5000 0.5000 0.5000  4 F 2.57, 8 N 2.59

## Properties
The crystal system is tetragonal. For the uncorrected formation energy, the calculation gives 2.822 eV/f.u. For the total energy, the calculation gives -14.451 eV per atom.

***

Entry 10:
Entry from Alexandria via LeMat-Bulk: a PBEsol-optimized structure of ZrCr2Cd (SCAN).

abc: 3.2196 3.2196 6.4864
angles: 90.00 90.00 90.00
With the nearest neighbours (Å) after each atom.
Element x y z (fractional)
Cd 0.5000 0.5000 0.5000  8 Cr 2.81
Cr 0.0000 0.0000 0.2468  4 Zr 2.78, 4 Cd 2.81
Cr 0.0000 0.0000 0.7532  4 Zr 2.78, 4 Cd 2.81
Zr 0.5000 0.5000 0.0000  8 Cr 2.78

## Properties
The crystal system is tetragonal. For the total energy, the calculation gives -24.276 eV per atom.

***

Entry 11:
Entry from Alexandria via LeMat-Bulk: a PBEsol-optimized structure of CsCa3Al (SCAN).

abc: 6.0912 6.0912 6.0912
angles: 90.00 90.00 90.00
With the nearest neighbours (Å) after each atom.
Element x y z (fractional)
Cs 0.5000 0.5000 0.5000  12 Ca 4.31
Ca 0.5000 0.0000 0.0000  2 Al 3.05
Ca 0.0000 0.5000 0.0000  2 Al 3.05
Ca 0.0000 0.0000 0.5000  2 Al 3.05
Al 0.0000 0.0000 0.0000  6 Ca 3.05

## Properties
The crystal system is cubic. For the total energy, the calculation gives -14.776 eV per atom.

***

Entry 12:
Entry from Alexandria via LeMat-Bulk: a PBEsol-optimized structure of Li2Fe3SbO8 (SCAN).

abc: 5.6441 5.6441 5.9183
angles: 61.52 61.52 60.00
With the nearest neighbours (Å) after each atom.
Element x y z (fractional)
Li 0.1269 0.1269 0.6194  4 O 1.90-2.06
Li 0.8731 0.8731 0.3806  4 O 1.90-2.06
O 0.2662 0.2662 0.2015  3 Fe 1.91, 1 Li 2.06
O 0.7338 0.7338 0.7985  3 Fe 1.91, 1 Li 2.06
O 0.7193 0.2545 0.7717  1 Li 1.90, 2 Fe 1.94, 1 Sb 2.02
O 0.7455 0.7455 0.2283  1 Li 1.90, 2 Fe 1.94, 1 Sb 2.02
O 0.2807 0.7455 0.2283  1 Li 1.90, 2 Fe 1.94, 1 Sb 2.02
O 0.2545 0.7193 0.7717  1 Li 1.90, 2 Fe 1.94, 1 Sb 2.02
O 0.2545 0.2545 0.7717  1 Li 1.90, 2 Fe 1.94, 1 Sb 2.02
O 0.7455 0.2807 0.2283  1 Li 1.90, 2 Fe 1.94, 1 Sb 2.02
Fe 0.5000 0.5000 0.0000  6 O 1.91-1.94
Fe 0.5000 0.0000 0.0000  6 O 1.91-1.94
Fe 0.0000 0.5000 0.0000  6 O 1.91-1.94
Sb 0.5000 0.5000 0.5000  6 O 2.02

## Properties
The crystal system is trigonal. For the uncorrected formation energy, the calculation gives -24.865 eV/f.u. For the total energy, the calculation gives -12.225 eV per atom.

***

Entry 13:
Entry from Alexandria via LeMat-Bulk: a PBEsol-optimized structure of MgZrNb3 (SCAN).

abc: 4.8780 4.8780 4.8780
angles: 90.00 90.00 90.00
With the nearest neighbours (Å) after each atom.
Element x y z (fractional)
Nb 0.0000 0.0000 0.5000  2 Zr 2.44
Nb 0.0000 0.5000 0.0000  2 Zr 2.44
Nb 0.5000 0.0000 0.0000  2 Zr 2.44
Mg 0.5000 0.5000 0.5000  12 Nb 3.45
Zr 0.0000 0.0000 0.0000  6 Nb 2.44

## Properties
The crystal system is cubic. For the total energy, the calculation gives -25.573 eV per atom.